Mg2MnCr PBE-GGA relaxed; polymorph energy (0 for the lowest one) = 0.00 eV/f.u.
1.0
-0.756 1.118 2.769
-2.916 0.340 -0.933
-1.463 -6.476 2.214
Cr Mg Mn
1 2 1
direct
0.500 0.500 0.700
0.000 0.000 0.967
0.500 0.500 0.286
0.000 0.000 0.547